1.
The following is a GGA-PBE calculation of a relaxed NdMgCo2Ge2 crystal, from the Open Quantum Materials Database.

Cell lengths 4.104, 4.104, 6.406 Å; angles 90.00, 90.00, 90.00 degrees
Positions (direct):
Ge: 0.500 0.500 0.197
Mg: 0.000 0.000 0.303
Co: 0.500 0.000 0.010
Co: 0.000 0.500 0.010
Ge: 0.000 0.000 0.815
Nd: 0.500 0.500 0.665

=====

2.
The following is a GGA-PBE calculation of a relaxed HoErMg2Sn2 crystal, from the Open Quantum Materials Database.

Cell lengths 8.495, 8.495, 8.495 Å; angles 150.17, 150.17, 42.69 degrees
Positions (direct):
Mg: 0.000 0.500 0.500
Sn: 0.136 0.136 0.000
Ho: 0.667 0.667 0.000
Er: 0.333 0.333 0.000
Sn: 0.864 0.864 0.000
Mg: 0.500 0.000 0.500

=====

3.
The following is a GGA-PBE calculation of a relaxed Nd2GeO5 crystal, from the Open Quantum Materials Database.

energy above the lowest structure with this stoichiometry: 2.7 meV/atom

Cell lengths 9.430, 7.216, 6.940 Å; angles 90.00, 106.04, 90.00 degrees
Positions (direct):
Ge: 0.302 0.591 0.530
O: 0.110 0.868 0.997
O: 0.287 0.084 0.839
Nd: 0.976 0.872 0.268
O: 0.110 0.632 0.497
O: 0.387 0.794 0.496
O: 0.605 0.946 0.771
O: 0.890 0.132 0.003
Nd: 0.627 0.636 0.941
Ge: 0.698 0.409 0.470
O: 0.890 0.368 0.503
O: 0.613 0.206 0.504
O: 0.887 0.618 0.060
Nd: 0.024 0.372 0.232
O: 0.387 0.706 0.996
O: 0.113 0.382 0.940
Nd: 0.373 0.364 0.059
O: 0.613 0.294 0.004
Nd: 0.627 0.864 0.441
Nd: 0.373 0.136 0.559
O: 0.395 0.446 0.729
Ge: 0.698 0.091 0.970
Ge: 0.302 0.909 0.030
O: 0.713 0.584 0.661
Nd: 0.976 0.628 0.768
Nd: 0.024 0.128 0.732
O: 0.887 0.882 0.560
O: 0.605 0.554 0.271
O: 0.287 0.416 0.339
O: 0.395 0.054 0.229
O: 0.113 0.118 0.440
O: 0.713 0.916 0.161

=====

4.
The following is a GGA-PBE calculation of a relaxed NaTePtAuSe2 crystal, from the Open Quantum Materials Database.

Cell lengths 7.787, 7.787, 10.871 Å; angles 90.00, 90.00, 152.68 degrees
Positions (direct):
Se: 0.114 0.886 0.978
Na: 0.778 0.222 0.750
Te: 0.448 0.552 0.750
Pt: 0.500 0.500 0.000
Se: 0.886 0.114 0.022
Pt: 0.500 0.500 0.500
Se: 0.886 0.114 0.478
Au: 0.877 0.123 0.250
Se: 0.114 0.886 0.522
Au: 0.123 0.877 0.750
Na: 0.222 0.778 0.250
Te: 0.552 0.448 0.250

=====

5.
The following is a GGA-PBE calculation of a relaxed ErMg6Cd crystal, from the Open Quantum Materials Database.

Cell lengths 6.576, 6.576, 5.112 Å; angles 90.00, 90.00, 120.00 degrees
Positions (direct):
Mg: 0.830 0.170 0.500
Mg: 0.503 0.497 0.000
Mg: 0.339 0.170 0.500
Mg: 0.830 0.661 0.500
Cd: 0.000 0.000 0.000
Mg: 0.995 0.497 0.000
Mg: 0.503 0.005 0.000
Er: 0.333 0.667 0.500

=====

6.
The following is a GGA-PBE calculation of a relaxed TbTm2Al3CuSi2 crystal, from the Open Quantum Materials Database.

Cell lengths 4.144, 6.880, 6.880 Å; angles 120.14, 90.00, 90.00 degrees
Positions (direct):
Cu: 0.000 0.004 0.004
Tm: 0.000 0.999 0.406
Al: 0.500 0.001 0.762
Al: 0.500 0.238 0.238
Al: 0.500 0.762 0.001
Si: 0.500 0.667 0.330
Tb: 0.000 0.593 0.593
Tm: 0.000 0.406 0.999
Si: 0.500 0.330 0.667

=====

7.
The following is a GGA-PBE calculation of a relaxed Pr2HoAl7Cu2 crystal, from the Open Quantum Materials Database.

Cell lengths 9.184, 9.184, 9.184 Å; angles 35.31, 35.31, 35.31 degrees
Positions (direct):
Al: 0.071 0.579 0.579
Cu: 0.665 0.665 0.665
Al: 0.421 0.929 0.421
Al: 0.500 0.500 0.500
Cu: 0.335 0.335 0.335
Al: 0.421 0.421 0.929
Pr: 0.141 0.141 0.141
Al: 0.929 0.421 0.421
Ho: 0.000 0.000 0.000
Al: 0.579 0.071 0.579
Al: 0.579 0.579 0.071
Pr: 0.859 0.859 0.859

=====

8.
The following is a GGA-PBE calculation of a relaxed Er2In4CoNi crystal, from the Open Quantum Materials Database.

Cell lengths 7.470, 5.564, 5.564 Å; angles 45.28, 90.00, 90.00 degrees
Positions (direct):
Co: 0.000 0.787 0.787
In: 0.299 0.644 0.644
In: 0.800 0.356 0.356
Ni: 0.500 0.214 0.214
In: 0.200 0.356 0.356
Er: 0.000 0.066 0.066
In: 0.701 0.644 0.644
Er: 0.500 0.933 0.933

=====

9.
The following is a GGA-PBE calculation of a relaxed Gd2SbSe2F crystal, from the Open Quantum Materials Database.

Cell lengths 3.962, 3.962, 8.739 Å; angles 90.00, 90.00, 90.00 degrees
Positions (direct):
Gd: 0.000 0.500 0.716
Gd: 0.500 0.000 0.284
F: 0.000 0.000 0.000
Se: 0.000 0.500 0.371
Se: 0.500 0.000 0.629
Sb: 0.500 0.500 0.000

=====

10.
The following is a GGA-PBE calculation of a relaxed PrDy crystal, from the Open Quantum Materials Database.

energy above the lowest structure with this stoichiometry: 0.0 meV/atom
ΔE_f: 0.075 eV per formula unit

Cell lengths 3.649, 3.649, 5.889 Å; angles 90.00, 90.00, 120.00 degrees
Positions (direct):
Dy: 0.667 0.333 0.750
Pr: 0.333 0.667 0.250

=====

11.
The following is a GGA-PBE calculation of a relaxed Li4CuSiPd2 crystal, from the Open Quantum Materials Database.

Cell lengths 4.251, 4.251, 5.902 Å; angles 90.00, 90.00, 90.00 degrees
Positions (direct):
Li: 0.500 0.500 0.500
Pd: 0.000 0.500 0.725
Cu: 0.500 0.500 0.000
Li: 0.000 0.000 0.000
Pd: 0.500 0.000 0.275
Li: 0.000 0.500 0.243
Si: 0.000 0.000 0.500
Li: 0.500 0.000 0.757

=====

12.
The following is a GGA-PBE calculation of a relaxed CdFeSbW crystal, from the Open Quantum Materials Database.

energy above the lowest structure with this stoichiometry: 0.0 meV/atom

Cell lengths 4.598, 4.598, 4.598 Å; angles 60.00, 60.00, 60.00 degrees
Positions (direct):
Fe: 0.750 0.750 0.750
Cd: 0.500 0.500 0.500
W: 0.250 0.250 0.250
Sb: 0.000 0.000 0.000

=====

Computed total energy, in the same sequence as the records: -5.394 -3.929 -7.684 -3.824 -1.850 -5.006 -4.438 -4.453 -5.321 -4.651 -3.817 -5.837 eV per atom.